Material: CeCo2BC
Method: DFT, PBE-GGA
State: optimized geometry

```
CeCo2BC
1.0
-2.991 -0.554 -1.987
0.598 -4.029 3.545
-3.515 3.319 4.365
Ce Co B C
2 4 2 2
Cartesian
-3.431 -1.324 5.533
-2.477 0.059 0.390
-3.612 1.629 4.983
-2.295 -2.893 0.940
-2.281 0.371 3.329
-3.627 -1.636 2.594
-4.539 0.258 3.438
-1.369 -1.522 2.485
0.000 0.000 0.000
-1.757 1.659 2.182
```

Results
- total DFT energy (no corrections) (eV per atom) = -7.412
- DOS at the Fermi energy (states/eV per atom) = 0.95
- calculated volume (Å³/atom) = 12.03